Here is a geometry-optimized Tm8Ge5Sb structure from Alexandria. Energies are from PBE.

Results
Raw formation energy: -0.853 eV per atom
N(E_F): 0.541 states/eV per atom

Cell: 8.8071 8.8071 8.7116 Å, 90.00 90.00 90.00°
With the nearest neighbours (Å) after each atom.
Space group I-4 (No. 82)
One atom of each set of equivalent atoms:
Tm (0.0662, 0.1864, 0.3130) (multiplicity 8)  3 Ge 2.84-2.88
Tm (0.0705, 0.3279, 0.9397) (multiplicity 8)  5 Ge 2.86-3.18, 1 Sb 3.00
Ge (0.0000, 0.5000, 0.2500) (multiplicity 2)  8 Tm 2.88-3.16
Ge (0.1289, 0.2504, 0.6267) (multiplicity 8)  6 Tm 2.84-3.18
Sb (0.0000, 0.0000, 0.0000) (multiplicity 2)  8 Tm 3.00-3.24